A relaxed NaLaBe2Sb crystal. Source: Alexandria via LeMat-Bulk, functional PBE-GGA.

The structure belongs to space group P4/mmm (No. 123); the cell edges are 4.757, 4.757 and 5.288 Å and the angles 90.00°, 90.00° and 90.00°. The asymmetric unit holds Na at (0.000, 0.000, 0.000), La at (0.500, 0.500, 0.500), Be at (0.000, 0.500, 0.000) and Sb at (0.000, 0.000, 0.500).

The total magnetization is 0.00 Bohr magnetons per cell. The density comes out at 4.2 g cm⁻³. Its uncorrected formation energy is 680 meV/atom. For the density of states at the Fermi level, the calculation gives 3.13 states/eV/cell.